Cs2CaAsSe4 | PBE | relaxed

Properties
As for the crystal system: orthorhombic. The value obtained for the formation energy without anion corrections is -89 kJ/mol of atoms.

Cell lengths 6.7028, 14.9734, 26.5728 Å; angles 90.00, 90.00, 90.00 degrees
Last column: nearest neighbours and their distance in Å.
Space group Fddd (No. 70, origin choice 2)
Inequivalent atoms, fractional coordinates:
1 Cs 0.1250 0.1250 0.3063 x16  8 Se 3.85-4.26
2 Ca 0.1250 0.1250 0.1250 x8  4 Se 2.80
3 As 0.1250 0.1250 0.6250 x8  4 Se 2.50
4 Se 0.0884 0.2741 0.8232 x32  1 As 2.50